Below is a geometry-optimized CaMnMo2O8 structure, with properties calculated at the PBE with a Hubbard U level.

Cell lengths 6.1189, 6.1189, 6.1189 Å; angles 107.39, 107.39, 113.73 degrees
Last column: magnetic moment on the atom in μB.
Fractional coordinates of all 12 atoms:
O 0.8597 0.6663 0.1934  0.00
O 0.3337 0.1403 0.8066  0.00
O 0.4730 0.6663 0.8066  0.00
O 0.7852 0.0869 0.6983  0.00
O 0.9131 0.2148 0.3017  0.00
O 0.9131 0.6114 0.6983  0.00
O 0.3886 0.0869 0.3017  0.00
O 0.3337 0.5270 0.1934  0.00
Mn 0.0000 0.0000 0.0000  4.66
Mo 0.5000 0.5000 0.0000  0.01
Mo 0.7500 0.2500 0.5000  0.07
Ca 0.2500 0.7500 0.5000  0.00

Values from the calculation:
Uncorrected energy, eV per atom: -7.197
Crystal system: tetragonal
Size of the total moment, μB per formula unit: 4.93